VASP calculation (PBE) on Ho5Co2Ni after structural relaxation.

Results
M_tot: 0.00 μB/f.u.
Formation energy: -23 kJ/mol of atoms
V: 353.5 Å³ per cell

abc: 8.6133 8.6133 8.6133
angles: 131.25 131.25 71.41
Closest atoms and distances in Å follow each position.
Sites, in units of the cell vectors:
Ho (0.0000, 0.0000, 0.0000)  4 Co 2.86
Ho (0.0346, 0.5346, 0.8524)  3 Co 2.89-2.90, 2 Ni 3.03
Ho (0.1822, 0.0346, 0.5000)  3 Co 2.89-2.90, 2 Ni 3.03
Ho (0.3178, 0.8178, 0.8524)  3 Co 2.89-2.90, 2 Ni 3.03
Ho (0.4654, 0.3178, 0.5000)  3 Co 2.89-2.90, 2 Ni 3.03
Ho (0.5000, 0.5000, 0.0000)  4 Co 2.86
Ho (0.5346, 0.6822, 0.5000)  3 Co 2.89-2.90, 2 Ni 3.03
Ho (0.6822, 0.1822, 0.1476)  3 Co 2.89-2.90, 2 Ni 3.03
Ho (0.8178, 0.9654, 0.5000)  3 Co 2.89-2.90, 2 Ni 3.03
Ho (0.9654, 0.4654, 0.1476)  3 Co 2.89-2.90, 2 Ni 3.03
Co (0.1135, 0.3865, 0.5000)  1 Co 2.28
Co (0.3865, 0.8865, 0.2729)  1 Co 2.28
Co (0.6135, 0.1135, 0.7271)  1 Co 2.28
Co (0.8865, 0.6135, 0.5000)  1 Co 2.28
Ni (0.2500, 0.2500, 0.0000)  8 Ho 3.03
Ni (0.7500, 0.7500, 0.0000)  8 Ho 3.03

=====

VASP calculation (PBE) on Ho3Co8Ni after structural relaxation.

Results
M_tot: 10.18 μB/f.u.
Formation energy: -13 kJ/mol of atoms
V: 172.6 Å³ per cell
Energy relative to the lowest polymorph listed for this composition: 77.6 meV per atom

abc: 8.5792 8.5792 8.5792
angles: 33.64 33.64 33.64
Closest atoms and distances in Å follow each position.
Sites, in units of the cell vectors:
Ho (0.0000, 0.0000, 0.0000)  12 Co 2.91-2.96, 4 Ho 3.13-3.14
Ho (0.1296, 0.1296, 0.1296)  12 Co 2.75-2.94, 3 Ni 2.95
Ho (0.6147, 0.6147, 0.6147)  9 Co 2.82-2.96, 1 Ni 2.97, 3 Ho 3.13
Co (0.0608, 0.0608, 0.5582)  6 Co 2.43-2.52
Co (0.0608, 0.5582, 0.0608)  6 Co 2.43-2.52
Co (0.0669, 0.5632, 0.5632)  6 Co 2.45-2.52, 1 Ni 2.70
Co (0.3122, 0.3122, 0.3122)  6 Co 2.52
Co (0.5582, 0.0608, 0.0608)  6 Co 2.43-2.52
Co (0.5632, 0.0669, 0.5632)  6 Co 2.45-2.52, 1 Ni 2.70
Co (0.5632, 0.5632, 0.0669)  6 Co 2.45-2.52, 1 Ni 2.70
Co (0.8126, 0.8126, 0.8126)  6 Co 2.43-2.45
Ni (0.4922, 0.4922, 0.4922)  12 Co 2.70-2.98, 4 Ho 2.95-2.97

=====

VASP calculation (PBE) on Ho2Co5Ni12 after structural relaxation.

Results
M_tot: 12.79 μB/f.u.
Formation energy: -17 kJ/mol of atoms
V: 238.8 Å³ per cell

abc: 6.2489 6.2489 6.2489
angles: 82.91 82.91 82.91
Closest atoms and distances in Å follow each position.
Sites, in units of the cell vectors:
Ho (0.1566, 0.1566, 0.1566)  15 Ni 2.92-3.17, 4 Co 3.01-3.20
Ho (0.8434, 0.8434, 0.8434)  15 Ni 2.92-3.17, 4 Co 3.01-3.20
Co (0.0000, 0.5000, 0.5000)  8 Ni 2.37, 2 Co 2.54
Co (0.4052, 0.4052, 0.4052)  4 Co 2.29-2.54, 3 Ni 2.56
Co (0.5000, 0.0000, 0.5000)  8 Ni 2.37, 2 Co 2.54
Co (0.5000, 0.5000, 0.0000)  8 Ni 2.37, 2 Co 2.54
Co (0.5948, 0.5948, 0.5948)  4 Co 2.29-2.54, 3 Ni 2.56
Ni (0.1564, 0.1564, 0.6486)  3 Co 2.37-2.56, 6 Ni 2.45-2.51
Ni (0.1564, 0.6486, 0.1564)  3 Co 2.37-2.56, 6 Ni 2.45-2.51
Ni (0.2035, 0.5000, 0.7965)  2 Co 2.37, 6 Ni 2.45-2.51
Ni (0.2035, 0.7965, 0.5000)  2 Co 2.37, 6 Ni 2.45-2.51
Ni (0.3514, 0.8436, 0.8436)  3 Co 2.37-2.56, 6 Ni 2.45-2.51
Ni (0.5000, 0.2035, 0.7965)  2 Co 2.37, 6 Ni 2.45-2.51
Ni (0.5000, 0.7965, 0.2035)  2 Co 2.37, 6 Ni 2.45-2.51
Ni (0.6486, 0.1564, 0.1564)  3 Co 2.37-2.56, 6 Ni 2.45-2.51
Ni (0.7965, 0.2035, 0.5000)  2 Co 2.37, 6 Ni 2.45-2.51
Ni (0.7965, 0.5000, 0.2035)  2 Co 2.37, 6 Ni 2.45-2.51
Ni (0.8436, 0.3514, 0.8436)  3 Co 2.37-2.56, 6 Ni 2.45-2.51
Ni (0.8436, 0.8436, 0.3514)  3 Co 2.37-2.56, 6 Ni 2.45-2.51

=====

VASP calculation (PBE) on Ho2Co2Ni15 after structural relaxation.

Results
M_tot: 9.65 μB/f.u.
Formation energy: -18 kJ/mol of atoms
V: 238.4 Å³ per cell

abc: 6.2468 6.2468 6.2468
angles: 82.80 82.80 82.80
Closest atoms and distances in Å follow each position.
Sites, in units of the cell vectors:
Ho (0.1586, 0.1586, 0.1586)  18 Ni 2.92-3.19, 1 Co 3.00
Ho (0.8414, 0.8414, 0.8414)  18 Ni 2.92-3.19, 1 Co 3.00
Co (0.4066, 0.4066, 0.4066)  1 Co 2.26
Co (0.5934, 0.5934, 0.5934)  1 Co 2.26
Ni (0.0000, 0.5000, 0.5000)  8 Ni 2.37-2.38, 2 Co 2.54
Ni (0.1561, 0.1561, 0.6534)  8 Ni 2.38-2.52, 1 Co 2.58
Ni (0.1561, 0.6534, 0.1561)  8 Ni 2.38-2.52, 1 Co 2.58
Ni (0.2034, 0.5000, 0.7966)  8 Ni 2.37-2.52
Ni (0.2034, 0.7966, 0.5000)  8 Ni 2.37-2.52
Ni (0.3466, 0.8439, 0.8439)  8 Ni 2.38-2.52, 1 Co 2.58
Ni (0.5000, 0.0000, 0.5000)  8 Ni 2.37-2.38, 2 Co 2.54
Ni (0.5000, 0.2034, 0.7966)  8 Ni 2.37-2.52
Ni (0.5000, 0.5000, 0.0000)  8 Ni 2.37-2.38, 2 Co 2.54
Ni (0.5000, 0.7966, 0.2034)  8 Ni 2.37-2.52
Ni (0.6534, 0.1561, 0.1561)  8 Ni 2.38-2.52, 1 Co 2.58
Ni (0.7966, 0.2034, 0.5000)  8 Ni 2.37-2.52
Ni (0.7966, 0.5000, 0.2034)  8 Ni 2.37-2.52
Ni (0.8439, 0.3466, 0.8439)  8 Ni 2.38-2.52, 1 Co 2.58
Ni (0.8439, 0.8439, 0.3466)  8 Ni 2.38-2.52, 1 Co 2.58

=====

VASP calculation (PBE) on HoCoNi after structural relaxation.

Results
M_tot: 1.66 μB/f.u.
Formation energy: 16 kJ/mol of atoms
V: 167.5 Å³ per cell

abc: 3.6425 3.6425 14.5809
angles: 90.00 90.00 120.00
Closest atoms and distances in Å follow each position.
Sites, in units of the cell vectors:
Ho (0.0000, 0.0000, 0.0000)  4 Ni 2.83-2.92, 4 Co 2.84-2.91
Ho (0.3333, 0.6667, 0.6667)  4 Ni 2.83-2.92, 4 Co 2.84-2.91
Ho (0.6667, 0.3333, 0.3333)  4 Ni 2.83-2.92, 4 Co 2.84-2.91
Co (0.0000, 0.0000, 0.1951)  3 Ni 2.26
Co (0.3333, 0.6667, 0.8618)  3 Ni 2.26
Co (0.6667, 0.3333, 0.5284)  3 Ni 2.26
Ni (0.0000, 0.0000, 0.8058)  3 Co 2.26
Ni (0.3333, 0.6667, 0.4725)  3 Co 2.26
Ni (0.6667, 0.3333, 0.1391)  3 Co 2.26

=====

VASP calculation (PBE) on Ho2CoNi12P3 after structural relaxation.

Results
M_tot: 3.50 μB/f.u.
Formation energy: -9 kJ/mol of atoms
V: 237.9 Å³ per cell

abc: 6.2183 6.2183 6.2183
angles: 85.06 85.06 85.06
Closest atoms and distances in Å follow each position.
Sites, in units of the cell vectors:
Ho (0.1900, 0.1900, 0.1900)  6 Ni 2.54-2.69
Ho (0.8100, 0.8100, 0.8100)  6 Ni 2.54-2.69
Co (0.5000, 0.5000, 0.5000)  6 Ni 2.38
Ni (0.1095, 0.1095, 0.6200)  1 Ni 2.34, 2 P 2.53
Ni (0.1095, 0.6200, 0.1095)  1 Ni 2.34, 2 P 2.53
Ni (0.1955, 0.6826, 0.6826)  1 P 2.18, 3 Ni 2.34-2.41, 1 Co 2.38
Ni (0.3174, 0.3174, 0.8045)  1 P 2.18, 3 Ni 2.34-2.41, 1 Co 2.38
Ni (0.3174, 0.8045, 0.3174)  1 P 2.18, 3 Ni 2.34-2.41, 1 Co 2.38
Ni (0.3800, 0.8905, 0.8905)  1 Ni 2.34, 2 P 2.53
Ni (0.6200, 0.1095, 0.1095)  1 Ni 2.34, 2 P 2.53
Ni (0.6826, 0.1955, 0.6826)  1 P 2.18, 3 Ni 2.34-2.41, 1 Co 2.38
Ni (0.6826, 0.6826, 0.1955)  1 P 2.18, 3 Ni 2.34-2.41, 1 Co 2.38
Ni (0.8045, 0.3174, 0.3174)  1 P 2.18, 3 Ni 2.34-2.41, 1 Co 2.38
Ni (0.8905, 0.3800, 0.8905)  1 Ni 2.34, 2 P 2.53
Ni (0.8905, 0.8905, 0.3800)  1 Ni 2.34, 2 P 2.53
P (0.0000, 0.5000, 0.5000)  2 Ni 2.18
P (0.5000, 0.0000, 0.5000)  2 Ni 2.18
P (0.5000, 0.5000, 0.0000)  2 Ni 2.18

=====

VASP calculation (PBE) on HoCoNiP2 after structural relaxation.

Results
M_tot: 0.35 μB/f.u.
Formation energy: -96 kJ/mol of atoms
V: 138.6 Å³ per cell

abc: 3.8484 3.8484 9.3609
angles: 90.00 90.00 90.00
Closest atoms and distances in Å follow each position.
Sites, in units of the cell vectors:
Ho (0.0000, 0.0000, 0.0000)  8 P 2.96, 4 Co 3.03, 4 Ni 3.03
Ho (0.5000, 0.5000, 0.5000)  8 P 2.96, 4 Co 3.03, 4 Ni 3.03
Co (0.0000, 0.5000, 0.7500)  4 P 2.26
Co (0.5000, 0.0000, 0.2500)  4 P 2.26
Ni (0.0000, 0.5000, 0.2500)  4 P 2.26
Ni (0.5000, 0.0000, 0.7500)  4 P 2.26
P (0.0000, 0.0000, 0.3756)  2 Co 2.26, 2 Ni 2.26, 1 P 2.33
P (0.0000, 0.0000, 0.6244)  2 Co 2.26, 2 Ni 2.26, 1 P 2.33
P (0.5000, 0.5000, 0.1244)  2 Co 2.26, 2 Ni 2.26, 1 P 2.33
P (0.5000, 0.5000, 0.8756)  2 Co 2.26, 2 Ni 2.26, 1 P 2.33

=====

VASP calculation (PBE) on HoPaCoNi after structural relaxation.

Results
M_tot: 0.00 μB/f.u.
Formation energy: -18 kJ/mol of atoms
V: 298.1 Å³ per cell
Energy relative to the lowest polymorph listed for this composition: 235.9 meV per atom

abc: 6.6802 6.6802 6.6802
angles: 90.00 90.00 90.00
Closest atoms and distances in Å follow each position.
Sites, in units of the cell vectors:
Ho (0.0000, 0.0000, 0.0000)  4 Co 2.89, 4 Ni 2.89
Ho (0.0000, 0.5000, 0.5000)  4 Ni 2.89, 4 Co 2.89
Ho (0.5000, 0.0000, 0.5000)  4 Ni 2.89, 4 Co 2.89
Ho (0.5000, 0.5000, 0.0000)  4 Ni 2.89, 4 Co 2.89
Pa (0.0000, 0.0000, 0.5000)  4 Co 2.89, 4 Ni 2.89
Pa (0.0000, 0.5000, 0.0000)  4 Co 2.89, 4 Ni 2.89
Pa (0.5000, 0.0000, 0.0000)  4 Co 2.89, 4 Ni 2.89
Pa (0.5000, 0.5000, 0.5000)  4 Co 2.89, 4 Ni 2.89
Co (0.2500, 0.2500, 0.7500)  4 Ho 2.89, 4 Pa 2.89
Co (0.2500, 0.7500, 0.2500)  4 Ho 2.89, 4 Pa 2.89
Co (0.7500, 0.2500, 0.2500)  4 Ho 2.89, 4 Pa 2.89
Co (0.7500, 0.7500, 0.7500)  4 Pa 2.89, 4 Ho 2.89
Ni (0.2500, 0.2500, 0.2500)  4 Ho 2.89, 4 Pa 2.89
Ni (0.2500, 0.7500, 0.7500)  4 Ho 2.89, 4 Pa 2.89
Ni (0.7500, 0.2500, 0.7500)  4 Ho 2.89, 4 Pa 2.89
Ni (0.7500, 0.7500, 0.2500)  4 Ho 2.89, 4 Pa 2.89

=====

no.,electronic total energy (eV per formula unit)
1,-44.80
2,-78.02
3,-117.37
4,-113.67
5,-16.97
6,-103.60
7,-33.25
8,-27.72